# 1
Compound: TlCr2Os
Source: Alexandria via LeMat-Bulk
Functional: meta-GGA SCAN
Structure: single point on PBEsol structure

Cell and atoms, written as extended XYZ:
```
4
Lattice="2.8022 0.0000 0.0000 0.0000 3.6682 0.0000 0.0000 0.0000 5.7773" Properties=species:S:1:pos:R:3 pbc="T T T"
Cr 0.0000 0.0000 0.2961
Cr 1.4011 1.8341 1.4293
Os 0.0000 0.0000 2.5447
Tl 1.4011 1.8341 4.3960
```

Summary:
Energy of formation from the pure elements   0.624 eV/atom
Space-group type   Pmm2

***

# 2
Compound: NbSbI2O
Source: Alexandria via LeMat-Bulk
Functional: meta-GGA SCAN
Structure: single point on PBEsol structure

Cell and atoms, written as extended XYZ:
```
5
Lattice="-2.4399 0.9240 -4.7098 -0.7141 -5.2945 -0.6688 -4.7450 0.3215 2.5212" Properties=species:S:1:pos:R:3 pbc="T T T"
I -0.3571 -2.6473 -0.3344
I -1.2200 0.4620 -2.3549
Sb -2.3725 0.1608 1.2606
Nb 0.0000 0.0000 0.0000
O -3.9495 -2.0245 -1.4287
```

Summary:
Raw formation energy   633.3 meV/atom
Space-group type   P4/mmm

***

# 3
Compound: Nb2CuAgCl
Source: Alexandria via LeMat-Bulk
Functional: meta-GGA SCAN
Structure: single point on PBEsol structure

Cell and atoms, written as extended XYZ:
```
5
Lattice="-1.6917 -4.1173 -1.0701 4.5880 -1.5563 -1.2649 0.7738 -1.5398 4.7013" Properties=species:S:1:pos:R:3 pbc="T T T"
Nb 0.3869 -0.7699 2.3506
Nb 2.2940 -0.7782 -0.6325
Cu -0.8459 -2.0587 -0.5350
Ag 0.0000 0.0000 0.0000
Cl 1.8350 -3.6067 1.1831
```

Summary:
Raw formation energy   1485.0 meV/atom
Space-group type   P4/mmm

***

# 4
Compound: YCd2NiAu
Source: Alexandria via LeMat-Bulk
Functional: meta-GGA SCAN
Structure: single point on PBEsol structure

Cell and atoms, written as extended XYZ:
```
5
Lattice="5.1978 0.0000 0.0000 0.0000 5.6783 0.0000 0.0000 0.0000 5.6783" Properties=species:S:1:pos:R:3 pbc="T T T"
Y 0.0000 0.0000 0.0000
Ni 2.5989 2.8392 2.8392
Au 2.5989 0.0000 0.0000
Cd 0.0000 0.0000 2.8392
Cd 0.0000 2.8392 0.0000
```

Summary:
Energy of formation from the pure elements   1.152 eV/atom
Space-group type   P4/mmm

***

# 5
Compound: Na2Bi2C4SO16
Source: Alexandria via LeMat-Bulk
Functional: meta-GGA SCAN
Structure: single point on PBEsol structure

Cell and atoms, written as extended XYZ:
```
50
Lattice="-3.3178 -6.4755 -6.9587 6.9358 3.1662 -6.5752 3.0409 -3.6058 9.3497" Properties=species:S:1:pos:R:3 pbc="T T T"
Na 1.0729 -0.9813 -4.0133
Na 2.5451 -2.3280 -9.5206
Na 0.0299 -5.1946 0.5658
Na 1.5022 -6.5413 -4.9416
Bi 2.9464 -0.5236 -0.9981
Bi 6.4143 1.0595 -4.2857
Bi 6.2759 -3.9811 -3.0902
Bi 7.9348 -0.7434 0.3892
C 0.1597 -2.1862 -0.9026
C -1.8106 -6.0973 -5.1684
C 4.4523 -6.6536 -3.3581
C 0.2628 -8.5348 0.6774
C 5.3532 -2.5936 -0.2825
C 1.1636 -4.4748 3.7530
C 4.3857 -1.4254 -3.7865
C 2.4153 -5.3364 -8.0523
S 1.8090 -1.6547 -6.7669
S 0.7661 -5.8680 -2.1879
O 1.0928 -1.7498 -1.6860
O 5.8657 1.0688 -7.8326
O 4.2267 -3.4050 -10.9418
O -1.8126 -4.8501 -5.4695
O 3.4811 -0.6374 -3.2887
O 7.7700 -1.4234 3.9094
O 2.1052 -4.8068 -9.1970
O 3.9883 -6.2686 -4.5086
O 4.9131 -5.7793 -2.5226
O 3.1921 -1.8656 -7.2585
O 6.1039 -3.5263 -0.7860
O 0.9121 -7.2422 -2.7258
O 1.4947 -8.6255 1.0245
O 3.0853 -2.8960 6.7820
O 1.5236 -2.6343 -5.6908
O 3.8983 -5.4441 1.4604
O 1.7177 -5.6843 -1.0655
O 1.0515 -4.8884 -3.2641
O 5.8485 -1.7569 0.5715
O 4.1213 -2.5029 -0.6296
O 4.7039 -3.8862 3.1206
O 6.4478 -4.4360 -5.3943
O -0.6170 -5.6570 -1.6964
O 0.7029 -5.3491 2.9174
O 1.6277 -4.8598 4.9034
O 0.4699 -2.7158 0.2421
O 1.1638 -3.2295 3.4441
O 2.4118 -0.4098 1.2925
O 4.3876 -2.6726 -3.4854
O 5.2841 -0.9515 -4.5883
O 3.6451 -5.4252 -7.6975
O 1.4823 -5.7728 -7.2689
```

Summary:
Raw formation energy   -1339.6 meV/atom
Space-group type   Fddd

***

# 6
Compound: NaLi3S
Source: Alexandria via LeMat-Bulk
Functional: meta-GGA SCAN
Structure: single point on PBEsol structure

Cell and atoms, written as extended XYZ:
```
5
Lattice="-0.3763 2.6414 3.9518 3.6169 -2.4130 1.9573 3.0841 3.1521 -1.8132" Properties=species:S:1:pos:R:3 pbc="T T T"
Na 3.1624 1.6902 2.0479
S 0.0000 0.0000 0.0000
Li 1.8084 -1.2065 0.9786
Li 1.5421 1.5760 -0.9066
Li -0.1881 1.3207 1.9759
```

Summary:
Raw formation energy   -669.4 meV/atom
Space-group type   Pm-3m

***

# 7
Compound: Ta2BiPSe
Source: Alexandria via LeMat-Bulk
Functional: meta-GGA SCAN
Structure: single point on PBEsol structure

Cell and atoms, written as extended XYZ:
```
5
Lattice="-3.2597 0.6838 3.3588 2.2452 -3.0764 2.8052 2.5930 3.5315 1.7975" Properties=species:S:1:pos:R:3 pbc="T T T"
P 0.0000 0.0000 0.0000
Bi 0.7893 0.5695 3.9808
Se 1.2965 1.7657 0.8987
Ta 1.1226 -1.5382 1.4026
Ta -1.6298 0.3419 1.6794
```

Summary:
Raw formation energy   825.7 meV/atom
Space-group type   P4/mmm

***

# 8
Compound: BaMn2CuPd
Source: Alexandria via LeMat-Bulk
Functional: meta-GGA SCAN
Structure: single point on PBEsol structure

Cell and atoms, written as extended XYZ:
```
5
Lattice="-0.5951 -4.1538 2.8811 4.3390 -1.9189 -1.8703 2.6124 2.2374 3.7652" Properties=species:S:1:pos:R:3 pbc="T T T"
Mn 1.3062 1.1187 1.8826
Mn 2.1695 -0.9594 -0.9351
Cu 3.1781 -1.9176 2.3880
Ba 0.0000 0.0000 0.0000
Pd -0.2975 -2.0769 1.4406
```

Summary:
Energy of formation from the pure elements   1.927 eV/atom
Space-group type   P4/mmm

***

Copy entry 3 word for word.
Compound: Nb2CuAgCl
Source: Alexandria via LeMat-Bulk
Functional: meta-GGA SCAN
Structure: single point on PBEsol structure

Cell and atoms, written as extended XYZ:
```
5
Lattice="-1.6917 -4.1173 -1.0701 4.5880 -1.5563 -1.2649 0.7738 -1.5398 4.7013" Properties=species:S:1:pos:R:3 pbc="T T T"
Nb 0.3869 -0.7699 2.3506
Nb 2.2940 -0.7782 -0.6325
Cu -0.8459 -2.0587 -0.5350
Ag 0.0000 0.0000 0.0000
Cl 1.8350 -3.6067 1.1831
```

Summary:
Raw formation energy   1485.0 meV/atom
Space-group type   P4/mmm

***

Copy entry 8 word for word.
Compound: BaMn2CuPd
Source: Alexandria via LeMat-Bulk
Functional: meta-GGA SCAN
Structure: single point on PBEsol structure

Cell and atoms, written as extended XYZ:
```
5
Lattice="-0.5951 -4.1538 2.8811 4.3390 -1.9189 -1.8703 2.6124 2.2374 3.7652" Properties=species:S:1:pos:R:3 pbc="T T T"
Mn 1.3062 1.1187 1.8826
Mn 2.1695 -0.9594 -0.9351
Cu 3.1781 -1.9176 2.3880
Ba 0.0000 0.0000 0.0000
Pd -0.2975 -2.0769 1.4406
```

Summary:
Energy of formation from the pure elements   1.927 eV/atom
Space-group type   P4/mmm